# 1
Compound: LiAl2InCl8
Source: the Alexandria database
Functional: PBE-GGA
Structure: optimized geometry

The structure belongs to space group P-3m1 (No. 164); the cell edges are 7.0733, 7.0733 and 8.7086 Å and the angles 90.00°, 90.00° and 120.00°. The asymmetric unit holds Li at (0.0000, 0.0000, 0.0000), Al at (0.3333, 0.6667, 0.7252), In at (0.0000, 0.0000, 0.5000), Cl at (0.1666, 0.3331, 0.8083) and Cl at (0.3333, 0.6667, 0.4801).

Its uncorrected formation energy is -1468 meV/atom. The calculation puts the total moment at 0.0 μB/cell.

# 2
Compound: PmEuDyGa
Source: the Alexandria database
Functional: PBE-GGA
Structure: optimized geometry

The structure belongs to space group F-43m (No. 216); the cell edges are 7.661, 7.661 and 7.661 Å and the angles 90.00°, 90.00° and 90.00°. The asymmetric unit holds Pm at (0.000, 0.000, 0.000), Eu at (0.250, 0.250, 0.750), Dy at (0.000, 0.000, 0.500) and Ga at (0.250, 0.250, 0.250).

The calculation puts the energy of formation at -75 meV/atom. The calculation puts the total moment at 30.2 μB/cell.